Record 1
VASP calculation (GGA-PBE) on CeNbSb2 after structural relaxation.

Values from the calculation:
E (eV per formula unit): -23.6
Formation energy (no corrections) (eV/f.u.): 0.6
Space group: R-3m (166)
Magnetic moment (μB per formula unit): 0.00
Distance to the lowest polymorph of the same formula (meV per atom): 571

```
4
Lattice="1.596 0.921 11.178 -1.596 0.921 11.178 0.000 -1.843 11.178" Properties=species:S:1:pos:R:3 pbc="T T T"
Ce 0.000 0.000 0.000
Nb 0.000 0.000 16.767
Sb 0.000 0.000 13.907
Sb 0.000 0.000 19.628
```

Record 2
VASP calculation (GGA-PBE) on DyZr2Ti after structural relaxation.

Values from the calculation:
E (eV per formula unit): -29.0
Space group: R3m (160)
Energy of formation from the pure elements (eV/atom): 0.154
Magnetic moment (μB per formula unit): 0.00
Distance to the lowest polymorph of the same formula (meV per atom): 28

```
4
Lattice="1.612 0.931 10.402 -1.612 0.931 10.402 0.000 -1.861 10.402" Properties=species:S:1:pos:R:3 pbc="T T T"
Dy 0.000 0.000 0.000
Zr 0.000 0.000 17.997
Zr 0.000 0.000 23.652
Ti 0.000 0.000 5.221
```